! Ac4Si3Rh (PBE-GGA, optimized geometry); values from VASP
&SYSTEM
  ibrav = 0, nat = 8, ntyp = 3
/
ATOMIC_SPECIES
Ac 227.00 Ac.upf
Si 28.09 Si.upf
Rh 102.91 Rh.upf
CELL_PARAMETERS angstrom
4.659 0.000 0.000
0.000 4.162 0.000
0.000 0.000 11.589
ATOMIC_POSITIONS angstrom
Ac 2.329 2.081 4.106
Ac 0.000 2.081 9.975
Ac 0.000 0.000 1.594
Ac 2.329 0.000 7.460
Si 0.000 2.081 6.521
Si 0.000 0.000 5.047
Si 2.329 0.000 10.923
Rh 2.329 2.081 0.731
! Total DFT energy (no corrections) (eV/cell): -44.90
! V (Å³/atom): 28.090